a | This record from the Alexandria database describes PrPu2Sn after structural relaxation. The functional is GGA-PBE.

Results
- D(E_F): 13.9 states/eV/cell

Lattice parameters (Å, degrees): 5.414 5.414 5.414 60.00 60.00 60.00
Positions (direct):
Pr 0.000 0.000 0.000
Pu 0.250 0.250 0.250
Pu 0.750 0.750 0.750
Sn 0.500 0.500 0.500

b | This record from the Alexandria database describes PrPu2Sn after structural relaxation. The functional is GGA-PBE.

Results
- D(E_F): 11.2 states/eV/cell

Lattice parameters (Å, degrees): 4.664 4.664 5.142 90.00 90.00 90.00
Positions (direct):
Pr 0.000 0.000 0.000
Pu 0.000 0.500 0.500
Pu 0.500 0.000 0.500
Sn 0.500 0.500 0.000

Energies relative to the most stable structure are a 25.2; b 0.0, reported in kJ/mol of atoms.